## CrCdCl2 (GGA-PBE)

Data for a relaxed structure of CrCdCl2.

abc: 3.716 3.716 9.058
angles: 90.00 90.00 123.46
Fractional positions:
1 Cr 0.000 0.000 0.000
2 Cd 0.500 0.500 0.249
3 Cl 0.000 0.000 0.451
4 Cl 0.500 0.500 0.832

Formation energy from raw total energies (meV/atom): -407
E (eV/atom): -3.9647
Crystal system: orthorhombic
Fermi-level density of states (states/eV per atom): 0.04